# 1
In2HgTe4Au: optimized geometry, PBE-GGA.

```
In2HgTe4Au
1.0
-0.889 5.818 -3.226
-3.683 -3.137 -4.652
-3.126 -0.213 7.464
Te In Hg Au
4 2 1 1
Cartesian
-5.221 1.505 0.778 Te
-2.907 3.778 -2.749 Te
-3.012 0.210 4.584 Te
-4.260 -0.557 -3.439 Te
-3.150 3.473 0.149 In
-4.548 -1.005 -0.563 In
-7.693 2.467 -0.417 Hg
-2.291 1.341 -3.936 Au
```

Calculated values
As for the uncorrected formation energy: -1.552 eV/f.u. The calculated density comes out at 6.4 g/cm3.

=====

# 2
Tl2InHgAu: optimized geometry, PBE-GGA.

```
Tl2InHgAu
1.0
4.296 0.000 0.000
0.000 4.296 0.000
0.000 0.000 15.297
In Au Hg Tl
2 2 2 4
Cartesian
2.148 2.148 7.648 In
0.000 0.000 7.648 In
2.148 0.000 1.319 Au
0.000 2.148 13.978 Au
0.000 2.148 5.146 Hg
2.148 0.000 10.150 Hg
0.000 2.148 1.632 Tl
2.148 0.000 4.214 Tl
0.000 2.148 11.083 Tl
2.148 0.000 13.664 Tl
```

Calculated values
As for the energy of formation: 0.024 eV per atom. The calculated density comes out at 10.8 g/cm3.

=====

# 3
TlInHgAu: optimized geometry, PBE-GGA.

```
TlInHgAu
1.0
-3.404 0.111 1.503
-0.218 -0.431 3.658
0.555 8.545 1.081
Au Hg Tl In
1 1 1 1
Cartesian
-1.479 3.025 3.225 Au
-0.121 7.597 2.212 Hg
-2.598 4.992 5.278 Tl
-2.888 1.097 4.779 In
```

Calculated values
As for the energy of formation: -0.035 eV per atom. The calculated density comes out at 11.2 g/cm3.

=====

# 4
TlIn2HgAu: optimized geometry, PBE-GGA.

```
TlIn2HgAu
1.0
5.370 0.000 0.000
0.000 5.370 0.000
0.000 0.000 5.679
Au Hg In Tl
1 1 2 1
Cartesian
0.000 0.000 0.000 Au
2.685 2.685 2.839 Hg
2.685 0.000 0.000 In
0.000 2.685 0.000 In
0.000 0.000 2.839 Tl
```

Calculated values
As for the energy of formation: 0.082 eV per atom. The calculated density comes out at 8.4 g/cm3.

=====

# 5
TlInHg2Au: optimized geometry, PBE-GGA.

```
TlInHg2Au
1.0
-0.864 4.437 2.932
-4.127 -2.432 2.465
3.377 -1.863 3.814
Tl Hg In Au
1 2 1 1
Cartesian
-0.807 0.071 4.606 Tl
-0.432 2.218 1.466 Hg
-2.063 -1.216 1.233 Hg
1.688 -0.931 1.907 In
0.000 0.000 0.000 Au
```

Calculated values
As for the energy of formation: 0.080 eV per atom. The calculated density comes out at 9.7 g/cm3.

=====

# 6
Tl2InHgAu: optimized geometry, PBE-GGA.

```
Tl2InHgAu
1.0
-5.524 -0.486 0.952
0.970 -0.170 5.539
-0.429 5.348 0.239
Au Hg Tl In
1 1 2 1
Cartesian
0.000 0.000 0.000 Au
-2.492 2.346 3.365 Hg
0.485 -0.085 2.770 Tl
-2.762 -0.243 0.476 Tl
-0.214 2.674 0.120 In
```

Calculated values
As for the energy of formation: 0.100 eV per atom. The calculated density comes out at 9.0 g/cm3.

=====

# 7
TlInHgAu: optimized geometry, PBE-GGA.

```
TlInHgAu
1.0
5.212 0.000 0.000
2.606 4.514 0.000
2.606 1.505 4.256
Au Tl Hg In
1 1 1 1
Cartesian
5.212 3.009 2.128 Au
7.818 4.514 3.192 Tl
0.000 0.000 0.000 Hg
2.606 1.505 1.064 In
```

Calculated values
As for the energy of formation: -0.001 eV per atom. The calculated density comes out at 11.9 g/cm3.

=====

# 8
YInHgAu2: optimized geometry, PBE-GGA.

```
YInHgAu2
1.0
5.132 0.000 0.000
0.000 5.291 0.000
0.000 0.000 5.132
Au In Y Hg
2 1 1 1
Cartesian
0.000 0.000 2.566 Au
2.566 0.000 0.000 Au
0.000 0.000 0.000 In
2.566 2.645 2.566 Y
0.000 2.645 0.000 Hg
```

Calculated values
As for the energy of formation: 0.154 eV per atom. The calculated density comes out at 9.5 g/cm3.

=====

# 9
ZnIn2HgAu: optimized geometry, PBE-GGA.

```
ZnIn2HgAu
1.0
5.412 0.000 0.000
0.000 5.412 0.000
0.000 0.000 4.964
In Hg Au Zn
2 1 1 1
Cartesian
0.000 2.706 0.000 In
2.706 0.000 0.000 In
2.706 2.706 2.482 Hg
0.000 0.000 0.000 Au
0.000 0.000 2.482 Zn
```

Calculated values
As for the energy of formation: 0.053 eV per atom. The calculated density comes out at 7.9 g/cm3.

=====

# 10
Zn2InHgAu: optimized geometry, PBE-GGA.

```
Zn2InHgAu
1.0
-4.106 -2.059 -1.900
2.790 -3.318 -2.432
-0.284 -3.355 4.251
Au Zn In Hg
1 2 1 1
Cartesian
0.000 0.000 0.000 Au
1.395 -1.659 -1.216 Zn
-2.053 -1.030 -0.950 Zn
-0.142 -1.678 2.125 In
-0.800 -4.366 -0.041 Hg
```

Calculated values
As for the energy of formation: 0.058 eV per atom. The calculated density comes out at 8.0 g/cm3.

=====

# 11
Hg2IrAu: optimized geometry, PBE-GGA.

```
Hg2IrAu
1.0
3.038 0.000 0.000
0.000 4.219 0.000
0.000 0.000 5.888
Ir Au Hg
1 1 2
Cartesian
0.000 0.000 2.884 Ir
1.519 2.109 4.404 Au
0.000 0.000 5.796 Hg
1.519 2.109 1.636 Hg
```

Calculated values
As for the energy of formation: 0.427 eV per atom. The calculated density comes out at 17.4 g/cm3.

=====

# 12
Hg2IrAu: optimized geometry, PBE-GGA.

```
Hg2IrAu
1.0
-2.241 2.001 0.435
-1.907 -2.274 0.637
1.999 0.528 7.864
Ir Au Hg
1 1 2
Cartesian
-1.574 -0.005 2.502 Ir
-0.575 0.259 6.434 Au
0.031 0.008 0.123 Hg
0.968 0.256 3.809 Hg
```

Calculated values
As for the energy of formation: 0.363 eV per atom. The calculated density comes out at 17.5 g/cm3.

=====

Q: Which value of calculated density does entry 7 give?
A: 11.9 g/cm3